(1)
CaAcTbPr | PBE | optimized geometry

Computed properties:
Formation energy from the elements (eV/atom): 0.102

```
CaAcTbPr
1.0
-4.4721 3.6815 1.5758
-5.4256 -2.2371 1.2631
-2.0153 0.0259 5.6546
Pr Ac Tb Ca
1 1 1 1
direct
0.5000 0.5000 0.5000
0.0000 0.0000 0.0000
0.7500 0.7500 0.7500
0.2500 0.2500 0.2500
```

***

(2)
Ru2W | PBE | optimized geometry

Computed properties:
Formation energy from the elements (eV/atom): 0.145

```
Ru2W
1.0
-0.5952 -1.3743 2.3125
-1.2727 -0.6505 -2.3554
4.8600 -4.4538 -1.3959
Ru W
2 1
direct
0.0000 0.0000 0.9984
0.3333 0.6667 0.6683
0.6667 0.3333 0.3333
```

***

(3)
K2IrRh | PBE | optimized geometry

Computed properties:
Formation energy from the elements (eV/atom): 0.379

```
K2IrRh
1.0
2.8925 0.0000 0.0000
0.0000 4.0296 0.0000
0.0000 0.0000 9.9116
Ir K Rh
1 2 1
direct
0.5000 0.5000 0.6619
0.0000 0.0000 0.9062
0.5000 0.5000 0.3434
0.0000 0.0000 0.5884
```

***

(4)
Li2TlAs2 | PBE | optimized geometry

Computed properties:
Formation energy from the elements (eV/atom): -0.289

```
Li2TlAs2
1.0
-3.9186 6.7229 -2.7037
-7.2143 -3.9076 0.7398
-0.2388 0.9569 2.7253
Tl As Li
2 4 4
direct
0.0000 0.0000 0.0000
0.5000 0.5000 0.0000
0.3353 0.8353 0.0000
0.8353 0.6647 0.0000
0.6647 0.1647 0.0000
0.1647 0.3353 0.0000
0.1280 0.6280 0.5000
0.6280 0.8720 0.5000
0.8720 0.3720 0.5000
0.3720 0.1280 0.5000
```

***

Spin magnetization values (in μB per formula unit) by entry order: 0.00; 0.00; 0.00; 0.00.
Mass density values (in Mg/m³) by entry order: 6.15; 14.47; 5.37; 6.22.
V values (in Å³ per atom) by entry order: 38.2; 14.8; 28.9; 19.7.